Density functional theory data (GGA-PBE) for a geometry-optimized MgHg2Cl structure.

Computed properties:
Raw formation energy in eV/atom: -0.39
Energy above the most stable polymorph in this dataset in eV per atom: 0.220

Cell and atoms, written as CIF:
```
data_MgHg2Cl
_cell_length_a 5.7716
_cell_length_b 11.4526
_cell_length_c 4.1213
_cell_angle_alpha 90.00
_cell_angle_beta 132.81
_cell_angle_gamma 90.00
_symmetry_space_group_name_H-M 'C 1 2/m 1'
_symmetry_Int_Tables_number 12
loop_
_symmetry_equiv_pos_as_xyz
'x,y,z'
'-x,-y,-z'
'-x,y,-z'
'x,-y,z'
'x+1/2,y+1/2,z'
'-x+1/2,-y+1/2,-z'
'-x+1/2,y+1/2,-z'
'x+1/2,-y+1/2,z'
loop_
_atom_site_label
_atom_site_type_symbol
_atom_site_fract_x
_atom_site_fract_y
_atom_site_fract_z
Mg1 Mg 0.0000 0.0000 0.0000
Hg1 Hg 0.2500 0.2500 0.5000
Cl1 Cl 0.0000 0.5000 0.0000
```

---

Density functional theory data (GGA-PBE) for a geometry-optimized InAsHBr2 structure.

Computed properties:
Energy above the most stable polymorph in this dataset in eV per atom: 0.338

Cell and atoms, written as CIF:
```
data_InAsHBr2
_cell_length_a 5.5849
_cell_length_b 5.5849
_cell_length_c 5.4364
_cell_angle_alpha 90.00
_cell_angle_beta 90.00
_cell_angle_gamma 90.00
_symmetry_space_group_name_H-M 'P 4/m m m'
_symmetry_Int_Tables_number 123
_symmetry_space_group_name_Hall '-P 4 2'
loop_
_atom_site_label
_atom_site_type_symbol
_atom_site_fract_x
_atom_site_fract_y
_atom_site_fract_z
In1 In 0.0000 0.0000 0.0000
As1 As 0.0000 0.0000 0.5000
H1 H 0.5000 0.5000 0.5000
Br1 Br 0.0000 0.5000 0.0000
```

---

Density functional theory data (GGA-PBE) for a geometry-optimized ZnTeIrO6 structure.

Computed properties:
Raw formation energy in eV/atom: -0.93

Cell and atoms, written as CIF:
```
data_ZnTeIrO6
_cell_length_a 5.2381
_cell_length_b 5.2381
_cell_length_c 8.9623
_cell_angle_alpha 90.00
_cell_angle_beta 90.00
_cell_angle_gamma 120.00
_symmetry_space_group_name_H-M 'P -3 1 c'
_symmetry_Int_Tables_number 163
_symmetry_space_group_name_Hall '-P 3 2c'
loop_
_atom_site_label
_atom_site_type_symbol
_atom_site_fract_x
_atom_site_fract_y
_atom_site_fract_z
Zn1 Zn 0.0000 0.0000 0.0000
Te1 Te 0.3333 0.6667 0.2500
Ir1 Ir 0.3333 0.6667 0.7500
O1 O 0.0006 0.3506 0.1323
```

---

Density functional theory data (GGA-PBE) for a geometry-optimized Sr2TbMg structure.

Computed properties:
Energy of formation from the pure elements in eV per atom: 0.15
Energy above the most stable polymorph in this dataset in eV per atom: 0.000

Cell and atoms, written as CIF:
```
data_Sr2TbMg
_cell_length_a 4.3856
_cell_length_b 4.3856
_cell_length_c 8.0492
_cell_angle_alpha 90.00
_cell_angle_beta 90.00
_cell_angle_gamma 90.00
_symmetry_space_group_name_H-M 'P 4/m m m'
_symmetry_Int_Tables_number 123
_symmetry_space_group_name_Hall '-P 4 2'
loop_
_atom_site_label
_atom_site_type_symbol
_atom_site_fract_x
_atom_site_fract_y
_atom_site_fract_z
Sr1 Sr 0.0000 0.0000 0.2397
Tb1 Tb 0.5000 0.5000 0.5000
Mg1 Mg 0.5000 0.5000 0.0000
```

---

Density functional theory data (GGA-PBE) for a geometry-optimized CaTi structure.

Computed properties:
Energy of formation from the pure elements in eV per atom: 2.07
Energy above the most stable polymorph in this dataset in eV per atom: 1.618

Cell and atoms, written as CIF:
```
data_CaTi
_cell_length_a 7.3649
_cell_length_b 7.3649
_cell_length_c 7.3649
_cell_angle_alpha 90.00
_cell_angle_beta 90.00
_cell_angle_gamma 90.00
_symmetry_space_group_name_H-M 'F -4 3 m'
_symmetry_Int_Tables_number 216
_symmetry_space_group_name_Hall 'F -4 2 3'
loop_
_atom_site_label
_atom_site_type_symbol
_atom_site_fract_x
_atom_site_fract_y
_atom_site_fract_z
Ca1 Ca 0.0000 0.0000 0.0000
Ti1 Ti 0.2500 0.2500 0.7500
```

---

Density functional theory data (GGA-PBE) for a geometry-optimized YCdAg2 structure.

Computed properties:
Energy of formation from the pure elements in eV per atom: -0.22

Cell and atoms, written as CIF:
```
data_YCdAg2
_cell_length_a 6.4423
_cell_length_b 6.4800
_cell_length_c 8.2727
_cell_angle_alpha 90.00
_cell_angle_beta 90.00
_cell_angle_gamma 90.00
_symmetry_space_group_name_H-M 'F 2 2 2'
_symmetry_Int_Tables_number 22
_symmetry_space_group_name_Hall 'F 2 2'
loop_
_atom_site_label
_atom_site_type_symbol
_atom_site_fract_x
_atom_site_fract_y
_atom_site_fract_z
Y1 Y 0.0000 0.0000 0.0000
Cd1 Cd 0.2500 0.2500 0.2500
Ag1 Ag 0.0000 0.0000 0.5000
Ag2 Ag 0.2500 0.2500 0.7500
```

---

Density functional theory data (GGA-PBE) for a geometry-optimized Ta2OsPb structure.

Computed properties:
Energy of formation from the pure elements in eV per atom: 0.17

Cell and atoms, written as CIF:
```
data_Ta2OsPb
_cell_length_a 3.0508
_cell_length_b 3.0508
_cell_length_c 8.1697
_cell_angle_alpha 90.00
_cell_angle_beta 90.00
_cell_angle_gamma 90.00
_symmetry_space_group_name_H-M 'P 4/m m m'
_symmetry_Int_Tables_number 123
_symmetry_space_group_name_Hall '-P 4 2'
loop_
_atom_site_label
_atom_site_type_symbol
_atom_site_fract_x
_atom_site_fract_y
_atom_site_fract_z
Ta1 Ta 0.0000 0.0000 0.2088
Os1 Os 0.5000 0.5000 0.0000
Pb1 Pb 0.5000 0.5000 0.5000
```

---

Density functional theory data (GGA-PBE) for a geometry-optimized LiHgAs2 structure.

Computed properties:
Energy of formation from the pure elements in eV per atom: 0.11

Cell and atoms, written as CIF:
```
data_LiHgAs2
_cell_length_a 3.0009
_cell_length_b 3.0009
_cell_length_c 31.4450
_cell_angle_alpha 90.00
_cell_angle_beta 90.00
_cell_angle_gamma 120.00
_symmetry_space_group_name_H-M 'R -3 m'
_symmetry_Int_Tables_number 166
_symmetry_space_group_name_Hall '-R 3 2"'
loop_
_atom_site_label
_atom_site_type_symbol
_atom_site_fract_x
_atom_site_fract_y
_atom_site_fract_z
Li1 Li 0.0000 0.0000 0.0000
Hg1 Hg 0.0000 0.0000 0.5000
As1 As 0.0000 0.0000 0.2656
```

---

Density functional theory data (GGA-PBE) for a geometry-optimized Ca6UO8 structure.

Computed properties:
Raw formation energy in eV/atom: -2.96

Cell and atoms, written as CIF:
```
data_Ca6UO8
_cell_length_a 9.7535
_cell_length_b 9.7535
_cell_length_c 9.7535
_cell_angle_alpha 90.00
_cell_angle_beta 90.00
_cell_angle_gamma 90.00
_symmetry_space_group_name_H-M 'F m -3 m'
_symmetry_Int_Tables_number 225
_symmetry_space_group_name_Hall '-F 4 2 3'
loop_
_atom_site_label
_atom_site_type_symbol
_atom_site_fract_x
_atom_site_fract_y
_atom_site_fract_z
Ca1 Ca 0.0000 0.2500 0.2500
U1 U 0.0000 0.0000 0.0000
O1 O 0.0000 0.0000 0.2278
O2 O 0.2500 0.2500 0.2500
```

---

Density functional theory data (GGA-PBE) for a geometry-optimized SmDyZn2 structure.

Computed properties:
Energy of formation from the pure elements in eV per atom: -0.33
Energy above the most stable polymorph in this dataset in eV per atom: 0.000

Cell and atoms, written as CIF:
```
data_SmDyZn2
_cell_length_a 7.2109
_cell_length_b 7.2109
_cell_length_c 7.2109
_cell_angle_alpha 90.00
_cell_angle_beta 90.00
_cell_angle_gamma 90.00
_symmetry_space_group_name_H-M 'F m -3 m'
_symmetry_Int_Tables_number 225
_symmetry_space_group_name_Hall '-F 4 2 3'
loop_
_atom_site_label
_atom_site_type_symbol
_atom_site_fract_x
_atom_site_fract_y
_atom_site_fract_z
Sm1 Sm 0.0000 0.0000 0.0000
Dy1 Dy 0.0000 0.0000 0.5000
Zn1 Zn 0.2500 0.2500 0.2500
```

---

Density functional theory data (GGA-PBE) for a geometry-optimized TbDyBr structure.

Computed properties:
Raw formation energy in eV/atom: -0.70
Energy above the most stable polymorph in this dataset in eV per atom: 0.035

Cell and atoms, written as CIF:
```
data_TbDyBr
_cell_length_a 10.1232
_cell_length_b 6.0084
_cell_length_c 5.7266
_cell_angle_alpha 90.00
_cell_angle_beta 90.00
_cell_angle_gamma 90.00
_symmetry_space_group_name_H-M 'P b c m'
_symmetry_Int_Tables_number 57
loop_
_symmetry_equiv_pos_as_xyz
'x,y,z'
'-x,-y,-z'
'-x,-y,z+1/2'
'x,y,-z+1/2'
'x,-y+1/2,-z'
'-x,y+1/2,z'
'-x,y+1/2,-z+1/2'
'x,-y+1/2,z+1/2'
loop_
_atom_site_label
_atom_site_type_symbol
_atom_site_fract_x
_atom_site_fract_y
_atom_site_fract_z
Tb1 Tb 0.2236 0.0150 0.2500
Dy1 Dy 0.4283 0.5717 0.2500
Br1 Br 0.1132 0.0026 0.7500
```

---

Density functional theory data (GGA-PBE) for a geometry-optimized Pm4CdHg3 structure.

Computed properties:
Energy of formation from the pure elements in eV per atom: -0.43

Cell and atoms, written as CIF:
```
data_Pm4CdHg3
_cell_length_a 7.5997
_cell_length_b 7.6267
_cell_length_c 8.5537
_cell_angle_alpha 90.00
_cell_angle_beta 116.29
_cell_angle_gamma 90.00
_symmetry_space_group_name_H-M 'C 1 2/m 1'
_symmetry_Int_Tables_number 12
loop_
_symmetry_equiv_pos_as_xyz
'x,y,z'
'-x,-y,-z'
'-x,y,-z'
'x,-y,z'
'x+1/2,y+1/2,z'
'-x+1/2,-y+1/2,-z'
'-x+1/2,y+1/2,-z'
'x+1/2,-y+1/2,z'
loop_
_atom_site_label
_atom_site_type_symbol
_atom_site_fract_x
_atom_site_fract_y
_atom_site_fract_z
Pm1 Pm 0.1246 0.2500 0.2491
Cd1 Cd 0.0000 0.0000 0.5000
Hg1 Hg 0.0000 0.5000 0.5000
Hg2 Hg 0.2493 0.0000 0.9989
```

---

Density functional theory data (GGA-PBE) for a geometry-optimized AlAg2Br structure.

Computed properties:
Raw formation energy in eV/atom: 0.08
Energy above the most stable polymorph in this dataset in eV per atom: 0.097

Cell and atoms, written as CIF:
```
data_AlAg2Br
_cell_length_a 3.1909
_cell_length_b 5.8423
_cell_length_c 9.2664
_cell_angle_alpha 90.00
_cell_angle_beta 90.00
_cell_angle_gamma 90.00
_symmetry_space_group_name_H-M 'I m m m'
_symmetry_Int_Tables_number 71
_symmetry_space_group_name_Hall '-I 2 2'
loop_
_atom_site_label
_atom_site_type_symbol
_atom_site_fract_x
_atom_site_fract_y
_atom_site_fract_z
Al1 Al 0.0000 0.0000 0.0000
Ag1 Ag 0.0000 0.5000 0.2711
Br1 Br 0.0000 0.0000 0.5000
```

---

Number 1: final energy -11.171 eV for the cell shown, theoretical density 7.660 g/cm³, N(E_F) 0.266 states/eV per atom. Number 2: final energy -11.695 eV for the cell shown, theoretical density 3.433 g/cm³, N(E_F) 0.329 states/eV per atom. Number 3: final energy -102.818 eV for the cell shown, theoretical density 7.505 g/cm³, N(E_F) 0.494 states/eV per atom. Number 4: final energy -9.002 eV for the cell shown, theoretical density 3.845 g/cm³, N(E_F) 1.083 states/eV per atom. Number 5: final energy -23.017 eV for the cell shown, theoretical density 1.462 g/cm³, N(E_F) 2.132 states/eV per atom. Number 6: final energy -55.863 eV for the cell shown, theoretical density 8.021 g/cm³, N(E_F) 0.478 states/eV per atom. Number 7: final energy -37.967 eV for the cell shown, theoretical density 16.583 g/cm³, N(E_F) 0.438 states/eV per atom. Number 8: final energy -33.248 eV for the cell shown, theoretical density 7.259 g/cm³, N(E_F) 0.993 states/eV per atom. Number 9: final energy -429.459 eV for the cell shown, theoretical density 4.342 g/cm³, N(E_F) 0.566 states/eV per atom. Number 10: final energy -52.726 eV for the cell shown, theoretical density 7.860 g/cm³, N(E_F) 1.138 states/eV per atom. Number 11: final energy -52.015 eV for the cell shown, theoretical density 7.653 g/cm³, N(E_F) 0.752 states/eV per atom. Number 12: final energy -48.598 eV for the cell shown, theoretical density 9.669 g/cm³, N(E_F) 1.121 states/eV per atom. Number 13: final energy -21.605 eV for the cell shown, theoretical density 6.203 g/cm³, N(E_F) 0.213 states/eV per atom.